A plane-wave DFT calculation with PBE-GGA was carried out for crystalline BC at its relaxed geometry.

abc: 11.0724 11.0724 11.0724
angles: 167.36 167.13 18.08
Fractional positions:
B 0.0000 0.0000 0.0000
B 0.1814 0.1814 0.0000
B 0.3199 0.8199 0.5000
B 0.3808 0.3808 0.0000
B 0.9395 0.4395 0.5000
C 0.1313 0.6313 0.5000
C 0.5495 0.0495 0.5000
C 0.5905 0.5905 0.0000
C 0.7315 0.2315 0.5000
C 0.7698 0.7698 0.0000

Properties
Magnetic moment: 0.000 μB/f.u.
Polymorph energy (0 for the lowest one): 194 meV per atom
Formation enthalpy at 0 K: 0.34 eV per atom



A plane-wave DFT calculation with PBE-GGA was carried out for crystalline BC at its relaxed geometry.

abc: 6.5890 6.5890 6.5890
angles: 156.66 44.18 143.04
Fractional positions:
B 0.0000 0.0000 0.0000
B 0.3553 0.6520 0.7033
B 0.5111 0.6291 0.8820
B 0.7471 0.6291 0.1180
B 0.9488 0.6520 0.2967
C 0.1210 0.9324 0.1886
C 0.2108 0.7108 0.5000
C 0.3148 0.9166 0.3982
C 0.5184 0.9166 0.6018
C 0.7439 0.9324 0.8114

Properties
Magnetic moment: 0.000 μB/f.u.
Polymorph energy (0 for the lowest one): 208 meV per atom
Formation enthalpy at 0 K: 0.36 eV per atom



A plane-wave DFT calculation with PBE-GGA was carried out for crystalline B3C at its relaxed geometry.

abc: 5.2538 2.4305 6.7733
angles: 90.00 109.95 90.00
Fractional positions:
B 0.0000 0.0000 0.0000
B 0.0124 0.0000 0.2743
B 0.1588 0.5000 0.6448
B 0.1910 0.5000 0.9141
B 0.3037 0.0000 0.2445
B 0.3216 0.0000 0.5193
B 0.4833 0.5000 0.1642
B 0.5224 0.5000 0.9172
B 0.8145 0.5000 0.3364
C 0.6699 0.0000 0.6275
C 0.6841 0.0000 0.8619
C 0.8014 0.5000 0.5713

Properties
Magnetic moment: 0.000 μB/f.u.
Polymorph energy (0 for the lowest one): 172 meV per atom
Formation enthalpy at 0 K: 0.41 eV per atom



A plane-wave DFT calculation with PBE-GGA was carried out for crystalline B7C at its relaxed geometry.

abc: 2.5855 4.2015 10.0782
angles: 90.00 90.00 90.00
Fractional positions:
B 0.0000 0.0000 0.0000
B 0.0000 0.0000 0.4719
B 0.0000 0.2276 0.8447
B 0.0000 0.2724 0.3447
B 0.0000 0.5000 0.5000
B 0.0000 0.5000 0.9719
B 0.0000 0.7276 0.3447
B 0.0000 0.7724 0.8447
B 0.5000 0.0000 0.5840
B 0.5000 0.2388 0.7228
B 0.5000 0.2612 0.2228
B 0.5000 0.5000 0.0840
B 0.5000 0.7388 0.2228
B 0.5000 0.7612 0.7228
C 0.5000 0.0000 0.0961
C 0.5000 0.5000 0.5961

Properties
Magnetic moment: 0.000 μB/f.u.
Polymorph energy (0 for the lowest one): 91 meV per atom
Formation enthalpy at 0 K: 0.42 eV per atom